A geometry-optimized KUNiN3 structure, computed with GGA-PBE.

Cell: 7.4605 3.5991 8.6437 Å, 90.00 110.84 90.00°
Element x y z (fractional)
K 0.2094 0.2500 0.2122
K 0.7906 0.7500 0.7878
U 0.3117 0.7500 0.8571
U 0.6883 0.2500 0.1429
Ni 0.0434 0.2500 0.6241
Ni 0.9566 0.7500 0.3759
N 0.1086 0.7500 0.6063
N 0.1468 0.2500 0.8634
N 0.4844 0.7500 0.1192
N 0.5156 0.2500 0.8808
N 0.8532 0.7500 0.1366
N 0.8914 0.2500 0.3937

Output
The formation energy (no corrections) is -644 meV/atom. As for the size of the total moment: 0.00 μB per cell.

---

A geometry-optimized Ce2NdTmSe4 structure, computed with GGA-PBE.

Cell: 7.2146 4.1308 7.2635 Å, 90.00 109.01 90.00°
Element x y z (fractional)
Ce 0.0000 0.0000 0.0000
Ce 0.5000 0.5000 0.0000
Nd 0.0000 0.5000 0.5000
Tm 0.5000 0.0000 0.5000
Se 0.2577 0.0000 0.7451
Se 0.2632 0.5000 0.2618
Se 0.7368 0.5000 0.7382
Se 0.7423 0.0000 0.2549

Output
The formation energy (no corrections) is -1789 meV/atom. As for the size of the total moment: 2.06 μB per cell.

---

A geometry-optimized Np2P2H structure, computed with GGA-PBE.

Cell: 6.8565 6.8565 6.8565 Å, 131.70 70.16 132.39°
Element x y z (fractional)
Np 0.1149 0.2250 0.3400
Np 0.3851 0.7250 0.1101
Np 0.6149 0.2750 0.8899
Np 0.8851 0.7750 0.6600
P 0.1399 0.7135 0.8533
P 0.3601 0.2135 0.5736
P 0.6399 0.7865 0.4264
P 0.8601 0.2865 0.1467
H 0.2500 0.2500 0.0000
H 0.7500 0.7500 0.0000

Output
As for the size of the total moment: 13.82 μB per cell. As for the energy relative to the lowest polymorph listed for this composition: 0.0 kJ per mole of atoms.

---

A geometry-optimized SrSc2Os structure, computed with GGA-PBE.

Cell: 4.2810 4.5244 4.6234 Å, 90.00 90.00 90.00°
Element x y z (fractional)
Sr 0.0000 0.0000 0.0000
Sc 0.5000 0.0000 0.5000
Sc 0.5000 0.5000 0.0000
Os 0.0000 0.5000 0.5000

Output
The formation energy from the elements is 0.45 eV per atom. As for the size of the total moment: 0.00 μB per cell. As for the energy relative to the lowest polymorph listed for this composition: 56.8 kJ per mole of atoms.